Density functional theory data (PBE) for a geometry-optimized ReAs2Au structure.

CIF file:
```
data_ReAs2Au
_chemical_formula_sum 'Re1 As2 Au1'
_cell_length_a 2.9863
_cell_length_b 2.9863
_cell_length_c 8.1301
_cell_angle_alpha 90.00
_cell_angle_beta 90.00
_cell_angle_gamma 90.00
_space_group_name_H-M_alt 'P 1'
_space_group_IT_number 1
_space_group_name_Hall 'P 1'
loop_
_atom_site_label
_atom_site_type_symbol
_atom_site_fract_x
_atom_site_fract_y
_atom_site_fract_z
Au1 Au 0.0000 0.0000 0.5181
Re1 Re 0.5000 0.5000 0.7642
As1 As 0.5000 0.5000 0.2753
As2 As 0.0000 0.0000 0.9424
```

DFT total energy = -5.89 eV per atom
Symmetry = No. 99
Energy of formation from the pure elements = 364 meV/atom
Energy above the lowest structure with this stoichiometry = 180 meV per atom
D(E_F) = 2.42 states/eV per cell